1.
DFT (GGA-PBE) results for a relaxed structure of KBaIn2Pt.

Lattice parameters (Å, degrees): 5.3964 5.3964 5.9841 90.00 90.00 90.00
Element x y z (fractional)
K 0.0000 0.0000 0.0000
Ba 0.5000 0.5000 0.0000
In 0.0000 0.5000 0.5000
In 0.5000 0.0000 0.5000
Pt 0.5000 0.5000 0.5000

Output
**N(E_F)**: 3.43 states/eV/cell
**VASP energy**: -16.1 eV/cell
**Energy of formation from the pure elements**: -0.3077 eV/atom
**Space group**: P4/mmm (123)

=====

2.
DFT (GGA-PBE) results for a relaxed structure of NbVAg2.

Lattice parameters (Å, degrees): 5.9078 5.9078 5.9078 101.15 101.15 127.82
Element x y z (fractional)
Nb 0.0000 0.0000 0.0000
Nb 0.7500 0.2500 0.5000
V 0.2500 0.7500 0.5000
V 0.5000 0.5000 0.0000
Ag 0.1461 0.6250 0.0211
Ag 0.3750 0.3961 0.5211
Ag 0.6039 0.1250 0.9789
Ag 0.8750 0.8539 0.4789

Output
**Excess energy over the best structure of this formula in the dataset**: 0.82 eV/f.u.
**N(E_F)**: 7.89 states/eV/cell
**VASP energy**: -43.4 eV/cell
**Energy of formation from the pure elements**: 0.7926 eV/atom
**Space group**: I-42d (122)

=====

3.
DFT (GGA-PBE) results for a relaxed structure of TaAlP2O.

Lattice parameters (Å, degrees): 4.8191 4.8191 3.3202 90.00 90.00 90.00
Element x y z (fractional)
Ta 0.0000 0.0000 0.0000
Al 0.5000 0.5000 0.5000
P 0.0000 0.5000 0.5000
P 0.5000 0.0000 0.5000
O 0.5000 0.5000 0.0000

Output
**Excess energy over the best structure of this formula in the dataset**: 1.64 eV/f.u.
**N(E_F)**: 3.71 states/eV/cell
**VASP energy**: -32.0 eV/cell
**Space group**: P4/mmm (123)